{
  "formula": "Pu2IO10",
  "functional": "PBE",
  "state": "optimized geometry",
  "cell": [[7.149, 0.000, 0.000], [0.000, 11.636, 0.000], [-5.930, 0.000, 11.899]],
  "species": ["Pu", "Pu", "Pu", "Pu", "Pu", "Pu", "Pu", "Pu", "I", "I", "I", "I", "O", "O", "O", "O", "O", "O", "O", "O", "O", "O", "O", "O", "O", "O", "O", "O", "O", "O", "O", "O", "O", "O", "O", "O", "O", "O", "O", "O", "O", "O", "O", "O", "O", "O", "O", "O", "O", "O", "O", "O"],
  "frac_coords": [[0.033, 0.232, 0.438], [0.033, 0.268, 0.938], [0.387, 0.245, 0.787], [0.387, 0.255, 0.287], [0.613, 0.745, 0.713], [0.613, 0.755, 0.213], [0.967, 0.732, 0.062], [0.967, 0.768, 0.562], [0.229, 0.747, 0.862], [0.229, 0.753, 0.362], [0.771, 0.247, 0.638], [0.771, 0.253, 0.138], [0.023, 0.120, 0.963], [0.023, 0.380, 0.463], [0.040, 0.223, 0.761], [0.040, 0.277, 0.261], [0.065, 0.085, 0.419], [0.065, 0.415, 0.919], [0.130, 0.687, 0.961], [0.130, 0.813, 0.461], [0.232, 0.603, 0.385], [0.232, 0.897, 0.885], [0.267, 0.734, 0.189], [0.267, 0.766, 0.689], [0.308, 0.228, 0.630], [0.308, 0.272, 0.130], [0.365, 0.102, 0.273], [0.365, 0.398, 0.773], [0.404, 0.244, 0.435], [0.404, 0.256, 0.935], [0.449, 0.095, 0.809], [0.449, 0.405, 0.309], [0.551, 0.595, 0.691], [0.551, 0.905, 0.191], [0.596, 0.744, 0.065], [0.596, 0.756, 0.565], [0.635, 0.602, 0.227], [0.635, 0.898, 0.727], [0.692, 0.728, 0.870], [0.692, 0.772, 0.370], [0.733, 0.234, 0.311], [0.733, 0.266, 0.811], [0.768, 0.103, 0.115], [0.768, 0.397, 0.615], [0.870, 0.187, 0.539], [0.870, 0.313, 0.039], [0.935, 0.585, 0.081], [0.935, 0.915, 0.581], [0.960, 0.723, 0.739], [0.960, 0.777, 0.239], [0.977, 0.620, 0.537], [0.977, 0.880, 0.037]],
  "formation_energy_uncorrected_mev_per_atom": -1501,
  "dos_at_fermi_per_ev_atom": 0.156,
  "sg": "P2_1/c",
  "total_magnetization_mub_per_fu": 1.05
}


{
  "formula": "Pu2I2O",
  "functional": "PBE",
  "state": "optimized geometry",
  "cell": [[3.845, 0.000, 0.000], [0.000, 3.845, 0.000], [0.000, 0.000, 14.596]],
  "species": ["Pu", "Pu", "I", "I", "O"],
  "frac_coords": [[0.000, 0.000, 0.141], [0.000, 0.000, 0.859], [0.000, 0.000, 0.341], [0.000, 0.000, 0.659], [0.000, 0.000, 0.000]],
  "formation_energy_uncorrected_mev_per_atom": -728,
  "dos_at_fermi_per_ev_atom": 3.319,
  "sg": "P4/mmm",
  "total_magnetization_mub_per_fu": 11.20,
  "polymorph_energy_ev_per_atom": 0.905
}


{
  "formula": "Pu2IO2",
  "functional": "PBE",
  "state": "optimized geometry",
  "cell": [[0.000, 5.202, 5.520], [3.677, 0.000, 5.520], [3.677, 5.202, 0.000]],
  "species": ["Pu", "Pu", "Pu", "Pu", "I", "I", "O", "O", "O", "O"],
  "frac_coords": [[0.048, 0.702, 0.048], [0.298, 0.952, 0.298], [0.702, 0.048, 0.702], [0.952, 0.298, 0.952], [0.375, 0.375, 0.375], [0.625, 0.625, 0.625], [0.009, 0.009, 0.741], [0.259, 0.259, 0.991], [0.741, 0.741, 0.009], [0.991, 0.991, 0.259]],
  "formation_energy_uncorrected_mev_per_atom": -2312,
  "dos_at_fermi_per_ev_atom": 2.729,
  "sg": "Fddd",
  "total_magnetization_mub_per_fu": 11.00
}


{
  "formula": "PuIO6",
  "functional": "PBE",
  "state": "optimized geometry",
  "cell": [[2.763, 1.595, 4.701], [-2.763, 1.595, 4.701], [0.000, -3.191, 4.701]],
  "species": ["Pu", "I", "O", "O", "O", "O", "O", "O"],
  "frac_coords": [[0.000, 0.000, 0.000], [0.500, 0.500, 0.500], [0.162, 0.751, 0.336], [0.249, 0.664, 0.838], [0.336, 0.162, 0.751], [0.664, 0.838, 0.249], [0.751, 0.336, 0.162], [0.838, 0.249, 0.664]],
  "formation_energy_uncorrected_mev_per_atom": -1243,
  "dos_at_fermi_per_ev_atom": 0.053,
  "sg": "R-3",
  "total_magnetization_mub_per_fu": 1.00
}